La2ThI GGA-PBE relaxed; E_form (uncorrected) = -0.16 eV per atom; M_tot = 0.00 μB/f.u.; DOS(E_F) = 1.34 states/eV/atom; energy above the lowest structure with this stoichiometry = 247 meV/atom
1.0
-2.484 2.177 1.529
-3.498 -0.268 -0.970
-3.800 -7.594 8.973
La Th I
2 1 1
Direct
0.095 0.095 0.715
0.905 0.905 0.285
0.000 0.000 0.000
0.500 0.500 0.500

---

La2ThI GGA-PBE relaxed; E_form (uncorrected) = -0.40 eV per atom; M_tot = 0.00 μB/f.u.; DOS(E_F) = 1.07 states/eV/atom; energy above the lowest structure with this stoichiometry = 0 meV/atom
1.0
3.762 0.000 0.000
0.000 3.762 0.000
0.000 0.000 9.779
La Th I
2 1 1
Direct
0.000 0.000 0.755
0.000 0.000 0.245
0.500 0.500 0.000
0.500 0.500 0.500

---

LaThI2 GGA-PBE relaxed; E_form (uncorrected) = -0.64 eV per atom; M_tot = 0.73 μB/f.u.; DOS(E_F) = 1.26 states/eV/atom
1.0
3.844 0.000 0.000
1.922 3.329 0.000
1.922 1.110 11.325
La I Th
1 2 1
Direct
0.000 0.000 0.000
0.903 0.903 0.291
0.097 0.097 0.709
0.500 0.500 0.500

---

La2TiI GGA-PBE relaxed; E_form (uncorrected) = 0.05 eV per atom; M_tot = 3.00 μB/f.u.; DOS(E_F) = 0.86 states/eV/atom; energy above the lowest structure with this stoichiometry = 0 meV/atom
1.0
0.000 3.934 3.934
3.934 0.000 3.934
3.934 3.934 0.000
Ti I La
1 1 2
Direct
0.000 0.000 0.000
0.500 0.500 0.500
0.250 0.250 0.250
0.750 0.750 0.750

---

LaTi3I GGA-PBE relaxed; E_form (uncorrected) = 1.34 eV per atom; M_tot = 0.00 μB/f.u.; DOS(E_F) = 1.06 states/eV/atom; energy above the lowest structure with this stoichiometry = 652 meV/atom
1.0
-3.325 -2.969 2.128
3.536 -3.337 0.870
0.915 2.109 4.372
La I Ti
1 1 3
Direct
0.000 0.000 0.000
0.500 0.500 0.500
0.500 0.000 0.000
0.000 0.000 0.500
0.000 0.500 0.000

---

LaTi3I GGA-PBE relaxed; E_form (uncorrected) = 0.69 eV per atom; M_tot = 2.07 μB/f.u.; DOS(E_F) = 1.41 states/eV/atom; energy above the lowest structure with this stoichiometry = 0 meV/atom
1.0
5.091 0.000 0.000
0.000 5.091 0.000
0.000 0.000 5.091
Ti La I
3 1 1
Direct
0.500 0.000 0.000
0.000 0.000 0.500
0.000 0.500 0.000
0.500 0.500 0.500
0.000 0.000 0.000

---

La2TiI GGA-PBE relaxed; E_form (uncorrected) = 0.17 eV per atom; M_tot = 2.25 μB/f.u.; DOS(E_F) = 1.28 states/eV/atom; energy above the lowest structure with this stoichiometry = 117 meV/atom
1.0
-7.669 0.301 4.074
-3.364 -5.380 -5.937
-4.623 -5.171 0.947
La Ti I
4 2 2
Direct
0.375 0.376 0.750
0.126 0.625 0.250
0.875 0.874 0.750
0.624 0.125 0.250
0.500 0.500 0.000
0.250 0.750 0.500
0.000 0.000 0.000
0.750 0.250 0.500

---

LaTl2I GGA-PBE relaxed; E_form (uncorrected) = -0.21 eV per atom; M_tot = 0.00 μB/f.u.; DOS(E_F) = 1.08 states/eV/atom; energy above the lowest structure with this stoichiometry = 0 meV/atom
1.0
-7.802 2.591 4.508
-5.196 -3.578 -6.936
-6.567 -3.363 0.317
Tl I La
4 2 2
Direct
0.639 0.125 0.250
0.375 0.361 0.750
0.875 0.889 0.750
0.111 0.625 0.250
0.500 0.500 0.000
0.250 0.750 0.500
0.000 0.000 0.000
0.750 0.250 0.500

---

LaTlI2 GGA-PBE relaxed; E_form (uncorrected) = -0.70 eV per atom; M_tot = 1.53 μB/f.u.; DOS(E_F) = 0.95 states/eV/atom; energy above the lowest structure with this stoichiometry = 190 meV/atom
1.0
-4.225 -3.669 -1.397
-4.410 -0.834 3.622
-5.241 2.008 -1.328
I La Tl
2 1 1
Direct
0.750 0.750 0.750
0.250 0.250 0.250
0.000 0.000 0.000
0.500 0.500 0.500

---

LaTlI4 GGA-PBE relaxed; E_form (uncorrected) = -1.23 eV per atom; M_tot = 0.00 μB/f.u.; DOS(E_F) = 0.00 states/eV/atom; energy above the lowest structure with this stoichiometry = 0 meV/atom
1.0
4.782 -0.005 -0.001
-2.386 7.370 -1.564
0.002 0.197 8.794
I La Tl
4 1 1
Direct
0.121 0.242 0.329
0.620 0.240 0.893
0.879 0.758 0.671
0.380 0.760 0.107
0.000 0.000 0.000
0.500 0.000 0.500